VASP calculation (PBE) on a relaxed NaCd2GaRh crystal.

Output
The density of states at the Fermi level is 1.46 states/eV/cell. As for the symmetry: No. 123. The value obtained for the formation energy is -0.1528 eV/atom.

The structure in extended XYZ format:
```
5
Lattice="-4.547 -1.079 -2.357 -0.280 -4.527 2.613 -2.337 2.173 3.514" Properties=species:S:1:pos:R:3 pbc="T T T"
Rh 0.000 0.000 0.000
Cd -2.274 -0.540 -1.179
Cd -0.140 -2.263 1.307
Na -3.582 -1.716 1.885
Ga -1.169 1.087 1.757
```